{
  "formula": "AsSe2S6",
  "functional": "PBE",
  "state": "optimized geometry",
  "rho_kg_m3": 3295,
  "formation_energy_uncorrected_mev_per_atom": 186,
  "e_tot_ev_per_atom": -3.86,
  "cell": [[3.745, 0.000, 0.000], [-0.050, 7.872, 0.000], [-0.053, -3.064, 7.269]],
  "species": ["As", "Se", "Se", "S", "S", "S", "S", "S", "S"],
  "fractional_positions": [[0.000, 0.000, 0.000], [0.500, 0.139, 0.862], [0.500, 0.861, 0.138], [0.107, 0.739, 0.482], [0.108, 0.481, 0.738], [0.150, 0.296, 0.296], [0.850, 0.704, 0.704], [0.892, 0.519, 0.262], [0.893, 0.261, 0.518]]
}

{
  "formula": "Ce2DyMg",
  "functional": "PBE",
  "state": "optimized geometry",
  "rho_kg_m3": 6817,
  "e_tot_ev_per_atom": -4.41,
  "cell": [[4.720, 0.000, 0.000], [0.000, 4.720, 0.000], [0.000, 0.000, 5.106]],
  "species": ["Ce", "Ce", "Dy", "Mg"],
  "fractional_positions": [[0.000, 0.500, 0.000], [0.500, 0.000, 0.000], [0.000, 0.000, 0.500], [0.500, 0.500, 0.500]]
}

{
  "formula": "Sm2EuMn",
  "functional": "PBE",
  "state": "optimized geometry",
  "rho_kg_m3": 6923,
  "e_tot_ev_per_atom": -7.05,
  "cell": [[3.603, 0.000, 0.000], [0.000, 3.603, 0.000], [0.000, 0.000, 9.378]],
  "species": ["Sm", "Sm", "Eu", "Mn"],
  "fractional_positions": [[0.000, 0.000, 0.185], [0.000, 0.000, 0.815], [0.500, 0.500, 0.500], [0.500, 0.500, 0.000]]
}

{
  "formula": "EuPaIr",
  "functional": "PBE",
  "state": "optimized geometry",
  "rho_kg_m3": 12331,
  "e_tot_ev_per_atom": -9.92,
  "cell": [[-1.817, 1.817, 5.863], [1.817, -1.817, 5.863], [1.817, 1.817, -5.863]],
  "species": ["Eu", "Pa", "Ir"],
  "fractional_positions": [[0.000, 0.000, 0.000], [0.284, 0.284, 0.000], [0.692, 0.692, 0.000]]
}

{
  "formula": "Sb2SeIF",
  "functional": "PBE",
  "state": "optimized geometry",
  "rho_kg_m3": 4202,
  "formation_energy_uncorrected_mev_per_atom": 810,
  "e_tot_ev_per_atom": -2.22,
  "cell": [[5.884, 0.000, 0.000], [0.000, 5.884, 0.000], [0.000, 0.000, 5.345]],
  "species": ["Sb", "Sb", "Se", "I", "F"],
  "fractional_positions": [[0.000, 0.500, 0.000], [0.500, 0.000, 0.000], [0.000, 0.000, 0.500], [0.000, 0.000, 0.000], [0.500, 0.500, 0.500]]
}

{
  "formula": "Sm2TiAs3Pt4",
  "functional": "PBE",
  "state": "optimized geometry",
  "rho_kg_m3": 11605,
  "e_tot_ev_per_atom": -6.45,
  "cell": [[4.230, 0.000, 0.000], [0.000, 4.230, 0.000], [0.000, 0.000, 10.825]],
  "species": ["Sm", "Sm", "Ti", "As", "As", "As", "Pt", "Pt", "Pt", "Pt"],
  "fractional_positions": [[0.000, 0.500, 0.227], [0.500, 0.000, 0.773], [0.000, 0.000, 0.500], [0.000, 0.500, 0.862], [0.500, 0.000, 0.138], [0.500, 0.500, 0.500], [0.000, 0.000, 0.000], [0.000, 0.500, 0.634], [0.500, 0.000, 0.366], [0.500, 0.500, 0.000]]
}

{
  "formula": "Pr3DyEr5",
  "functional": "PBE",
  "state": "optimized geometry",
  "rho_kg_m3": 7127,
  "e_tot_ev_per_atom": -4.11,
  "cell": [[7.720, -5.616, 0.000], [7.720, 5.616, 0.000], [-6.576, 0.000, 7.639]],
  "species": ["Pr", "Pr", "Pr", "Pr", "Pr", "Pr", "Dy", "Dy", "Er", "Er", "Er", "Er", "Er", "Er", "Er", "Er", "Er", "Er"],
  "fractional_positions": [[0.000, 0.000, 0.000], [0.010, 0.010, 0.307], [0.472, 0.472, 0.133], [0.500, 0.500, 0.500], [0.528, 0.528, 0.867], [0.990, 0.990, 0.693], [0.253, 0.253, 0.104], [0.747, 0.747, 0.896], [0.089, 0.587, 0.744], [0.214, 0.214, 0.724], [0.241, 0.759, 0.500], [0.279, 0.279, 0.468], [0.413, 0.911, 0.256], [0.587, 0.089, 0.744], [0.721, 0.721, 0.532], [0.759, 0.241, 0.500], [0.786, 0.786, 0.276], [0.911, 0.413, 0.256]]
}

{
  "formula": "La8Ag2Pt",
  "functional": "PBE",
  "state": "optimized geometry",
  "rho_kg_m3": 7360,
  "e_tot_ev_per_atom": -4.94,
  "cell": [[9.564, -2.702, 0.000], [9.564, 2.702, 0.000], [-2.406, 0.000, 6.644]],
  "species": ["La", "La", "La", "La", "La", "La", "La", "La", "Ag", "Ag", "Pt"],
  "fractional_positions": [[0.020, 0.020, 0.296], [0.204, 0.204, 0.830], [0.334, 0.334, 0.488], [0.410, 0.410, 0.043], [0.590, 0.590, 0.957], [0.666, 0.666, 0.512], [0.796, 0.796, 0.170], [0.980, 0.980, 0.704], [0.169, 0.169, 0.231], [0.831, 0.831, 0.769], [0.500, 0.500, 0.500]]
}

{
  "formula": "Zn2Cd2Ga",
  "functional": "PBE",
  "state": "optimized geometry",
  "rho_kg_m3": 6607,
  "e_tot_ev_per_atom": -1.31,
  "cell": [[-2.039, 2.039, 6.427], [2.039, -2.039, 6.427], [2.039, 2.039, -6.427]],
  "species": ["Zn", "Zn", "Cd", "Cd", "Ga"],
  "fractional_positions": [[0.095, 0.095, 0.000], [0.905, 0.905, 0.000], [0.250, 0.750, 0.500], [0.750, 0.250, 0.500], [0.500, 0.500, 0.000]]
}

{
  "formula": "As5Ru4",
  "functional": "PBE",
  "state": "optimized geometry",
  "rho_kg_m3": 9184,
  "e_tot_ev_per_atom": -6.52,
  "cell": [[7.716, 0.000, 0.000], [-3.858, 6.682, 0.000], [0.000, 0.000, 5.463]],
  "species": ["As", "As", "As", "As", "As", "As", "As", "As", "As", "As", "Ru", "Ru", "Ru", "Ru", "Ru", "Ru", "Ru", "Ru"],
  "fractional_positions": [[0.000, 0.299, 0.250], [0.000, 0.701, 0.750], [0.299, 0.000, 0.250], [0.299, 0.299, 0.750], [0.333, 0.667, 0.000], [0.333, 0.667, 0.500], [0.667, 0.333, 0.000], [0.667, 0.333, 0.500], [0.701, 0.000, 0.750], [0.701, 0.701, 0.250], [0.000, 0.000, 0.000], [0.000, 0.000, 0.500], [0.000, 0.341, 0.750], [0.000, 0.659, 0.250], [0.341, 0.000, 0.750], [0.341, 0.341, 0.250], [0.659, 0.000, 0.250], [0.659, 0.659, 0.750]]
}

{
  "formula": "MnGaP2S",
  "functional": "PBE",
  "state": "optimized geometry",
  "rho_kg_m3": 3513,
  "formation_energy_uncorrected_mev_per_atom": 862,
  "e_tot_ev_per_atom": -4.57,
  "cell": [[4.660, 0.000, 0.000], [0.000, 4.660, 0.000], [0.000, 0.000, 4.759]],
  "species": ["Mn", "Ga", "P", "P", "S"],
  "fractional_positions": [[0.000, 0.000, 0.000], [0.500, 0.500, 0.500], [0.000, 0.500, 0.500], [0.500, 0.000, 0.500], [0.500, 0.500, 0.000]]
}

{
  "formula": "YCrSCl2",
  "functional": "PBE",
  "state": "optimized geometry",
  "rho_kg_m3": 2797,
  "formation_energy_uncorrected_mev_per_atom": -908,
  "e_tot_ev_per_atom": -5.69,
  "cell": [[5.224, 0.000, 0.000], [0.000, 5.224, 0.000], [0.000, 0.000, 5.307]],
  "species": ["Y", "Cr", "S", "Cl", "Cl"],
  "fractional_positions": [[0.000, 0.000, 0.000], [0.500, 0.500, 0.500], [0.000, 0.000, 0.500], [0.000, 0.500, 0.000], [0.500, 0.000, 0.000]]
}

{
  "formula": "NaSNCl2",
  "functional": "PBE",
  "state": "optimized geometry",
  "rho_kg_m3": 1422,
  "formation_energy_uncorrected_mev_per_atom": 1123,
  "e_tot_ev_per_atom": -2.37,
  "cell": [[5.348, 0.000, 0.000], [0.000, 5.348, 0.000], [0.000, 0.000, 5.716]],
  "species": ["Na", "S", "N", "Cl", "Cl"],
  "fractional_positions": [[0.000, 0.000, 0.000], [0.000, 0.000, 0.500], [0.500, 0.500, 0.500], [0.000, 0.500, 0.000], [0.500, 0.000, 0.000]]
}

{
  "formula": "LiTaFe2",
  "functional": "PBE",
  "state": "optimized geometry",
  "rho_kg_m3": 9204,
  "e_tot_ev_per_atom": -7.40,
  "cell": [[2.650, -4.028, 0.000], [2.650, 4.028, 0.000], [-0.673, 0.000, 2.531]],
  "species": ["Li", "Ta", "Fe", "Fe"],
  "fractional_positions": [[0.000, 0.000, 0.000], [0.500, 0.500, 0.000], [0.000, 0.500, 0.500], [0.500, 0.000, 0.500]]
}

{
  "formula": "Nd3ScSe6",
  "functional": "PBE",
  "state": "optimized geometry",
  "rho_kg_m3": 5710,
  "formation_energy_uncorrected_mev_per_atom": -1808,
  "e_tot_ev_per_atom": -5.96,
  "cell": [[6.935, 0.000, 0.000], [0.000, 7.653, 0.000], [-6.561, 0.000, 10.427]],
  "species": ["Nd", "Nd", "Nd", "Nd", "Nd", "Nd", "Sc", "Sc", "Se", "Se", "Se", "Se", "Se", "Se", "Se", "Se", "Se", "Se", "Se", "Se"],
  "fractional_positions": [[0.000, 0.000, 0.000], [0.000, 0.500, 0.500], [0.301, 0.105, 0.756], [0.301, 0.395, 0.256], [0.699, 0.605, 0.744], [0.699, 0.895, 0.244], [0.500, 0.000, 0.500], [0.500, 0.500, 0.000], [0.112, 0.050, 0.263], [0.112, 0.450, 0.763], [0.259, 0.675, 0.076], [0.259, 0.825, 0.576], [0.413, 0.191, 0.073], [0.413, 0.309, 0.573], [0.587, 0.691, 0.427], [0.587, 0.809, 0.927], [0.741, 0.175, 0.424], [0.741, 0.325, 0.924], [0.888, 0.550, 0.237], [0.888, 0.950, 0.737]]
}

{
  "formula": "MnGa3Fe3",
  "functional": "PBE",
  "state": "optimized geometry",
  "rho_kg_m3": 7898,
  "e_tot_ev_per_atom": -6.21,
  "cell": [[6.882, 0.000, 0.000], [-3.441, 5.960, 0.000], [0.000, 0.000, 4.425]],
  "species": ["Mn", "Mn", "Ga", "Ga", "Ga", "Ga", "Ga", "Ga", "Fe", "Fe", "Fe", "Fe", "Fe", "Fe"],
  "fractional_positions": [[0.333, 0.667, 0.250], [0.667, 0.333, 0.750], [0.044, 0.788, 0.250], [0.212, 0.256, 0.250], [0.256, 0.044, 0.750], [0.744, 0.956, 0.250], [0.788, 0.744, 0.750], [0.956, 0.212, 0.750], [0.098, 0.623, 0.750], [0.377, 0.475, 0.750], [0.475, 0.098, 0.250], [0.525, 0.902, 0.750], [0.623, 0.525, 0.250], [0.902, 0.377, 0.250]]
}

{
  "formula": "La6TbSe8",
  "functional": "PBE",
  "state": "optimized geometry",
  "rho_kg_m3": 6027,
  "formation_energy_uncorrected_mev_per_atom": -1996,
  "e_tot_ev_per_atom": -6.13,
  "cell": [[0.000, 6.071, 6.071], [6.071, 0.000, 6.071], [6.071, 6.071, 0.000]],
  "species": ["La", "La", "La", "La", "La", "La", "Tb", "Se", "Se", "Se", "Se", "Se", "Se", "Se", "Se"],
  "fractional_positions": [[0.000, 0.000, 0.500], [0.000, 0.500, 0.000], [0.000, 0.500, 0.500], [0.500, 0.000, 0.000], [0.500, 0.000, 0.500], [0.500, 0.500, 0.000], [0.000, 0.000, 0.000], [0.242, 0.242, 0.758], [0.242, 0.758, 0.242], [0.242, 0.758, 0.758], [0.250, 0.250, 0.250], [0.750, 0.750, 0.750], [0.758, 0.242, 0.242], [0.758, 0.242, 0.758], [0.758, 0.758, 0.242]]
}

{
  "formula": "Y5Er2Tm3",
  "functional": "PBE",
  "state": "optimized geometry",
  "rho_kg_m3": 6622,
  "e_tot_ev_per_atom": -5.17,
  "cell": [[-6.061, 8.521, 3.122], [6.061, -8.521, 3.122], [6.061, 8.521, -3.122]],
  "species": ["Y", "Y", "Y", "Y", "Y", "Y", "Y", "Y", "Y", "Y", "Er", "Er", "Er", "Er", "Tm", "Tm", "Tm", "Tm", "Tm", "Tm"],
  "fractional_positions": [[0.178, 0.247, 0.425], [0.250, 0.250, 0.000], [0.250, 0.501, 0.251], [0.250, 0.999, 0.749], [0.322, 0.747, 0.068], [0.678, 0.253, 0.932], [0.750, 0.001, 0.251], [0.750, 0.499, 0.749], [0.750, 0.750, 0.000], [0.822, 0.753, 0.575], [0.166, 0.583, 0.749], [0.334, 0.083, 0.417], [0.666, 0.917, 0.583], [0.834, 0.417, 0.251], [0.167, 0.915, 0.082], [0.250, 0.750, 0.500], [0.333, 0.415, 0.748], [0.667, 0.585, 0.252], [0.750, 0.250, 0.500], [0.833, 0.085, 0.918]]
}

{
  "formula": "PrThTe2",
  "functional": "PBE",
  "state": "optimized geometry",
  "rho_kg_m3": 8111,
  "formation_energy_uncorrected_mev_per_atom": -1216,
  "e_tot_ev_per_atom": -5.84,
  "cell": [[2.225, 1.284, 7.502], [-2.225, 1.284, 7.502], [0.000, -2.569, 7.502]],
  "species": ["Pr", "Th", "Te", "Te"],
  "fractional_positions": [[0.000, 0.000, 0.000], [0.500, 0.500, 0.500], [0.250, 0.250, 0.250], [0.750, 0.750, 0.750]]
}

{
  "formula": "Y6HgN",
  "functional": "PBE",
  "state": "optimized geometry",
  "rho_kg_m3": 5538,
  "formation_energy_uncorrected_mev_per_atom": -391,
  "e_tot_ev_per_atom": -6.32,
  "cell": [[6.581, 0.000, 0.000], [3.290, 5.707, 0.000], [3.283, 1.901, 5.971]],
  "species": ["Y", "Y", "Y", "Y", "Y", "Y", "Hg", "N"],
  "fractional_positions": [[0.036, 0.399, 0.270], [0.205, 0.964, 0.730], [0.399, 0.795, 0.270], [0.601, 0.205, 0.730], [0.795, 0.036, 0.270], [0.964, 0.601, 0.730], [0.500, 0.500, 0.000], [0.000, 0.000, 0.500]]
}

{
  "formula": "CsP2N2",
  "functional": "PBE",
  "state": "optimized geometry",
  "rho_kg_m3": 2959,
  "formation_energy_uncorrected_mev_per_atom": -155,
  "e_tot_ev_per_atom": -5.82,
  "cell": [[3.964, 0.000, 0.000], [1.076, 5.609, 0.000], [1.073, 0.482, 5.626]],
  "species": ["Cs", "P", "P", "N", "N"],
  "fractional_positions": [[0.000, 0.000, 0.000], [0.304, 0.418, 0.421], [0.696, 0.582, 0.579], [0.499, 0.340, 0.665], [0.501, 0.660, 0.335]]
}

{
  "formula": "Sr3Hg2Bi3",
  "functional": "PBE",
  "state": "optimized geometry",
  "rho_kg_m3": 7879,
  "e_tot_ev_per_atom": -2.76,
  "cell": [[2.457, -6.436, 0.000], [2.457, 6.436, 0.000], [0.000, 0.000, 17.205]],
  "species": ["Sr", "Sr", "Sr", "Sr", "Sr", "Sr", "Hg", "Hg", "Hg", "Hg", "Bi", "Bi", "Bi", "Bi", "Bi", "Bi"],
  "fractional_positions": [[0.073, 0.927, 0.607], [0.073, 0.927, 0.893], [0.327, 0.673, 0.750], [0.673, 0.327, 0.250], [0.927, 0.073, 0.107], [0.927, 0.073, 0.393], [0.237, 0.763, 0.106], [0.237, 0.763, 0.394], [0.763, 0.237, 0.606], [0.763, 0.237, 0.894], [0.384, 0.616, 0.548], [0.384, 0.616, 0.952], [0.397, 0.603, 0.250], [0.603, 0.397, 0.750], [0.616, 0.384, 0.048], [0.616, 0.384, 0.452]]
}

{
  "formula": "TiP2Se2",
  "functional": "PBE",
  "state": "optimized geometry",
  "rho_kg_m3": 4643,
  "formation_energy_uncorrected_mev_per_atom": 34,
  "e_tot_ev_per_atom": -5.10,
  "cell": [[6.862, 0.000, 0.000], [0.000, 6.862, 0.000], [0.000, 0.000, 4.067]],
  "species": ["Ti", "Ti", "P", "P", "P", "P", "Se", "Se", "Se", "Se"],
  "fractional_positions": [[0.000, 0.000, 0.000], [0.500, 0.500, 0.000], [0.170, 0.330, 0.000], [0.330, 0.830, 0.000], [0.670, 0.170, 0.000], [0.830, 0.670, 0.000], [0.193, 0.693, 0.500], [0.307, 0.193, 0.500], [0.693, 0.807, 0.500], [0.807, 0.307, 0.500]]
}